Material: K3MoAs
Method: DFT, GGA-PBE
State: optimized geometry

Calculated values
Space group = No. 221
Total moment = 6.0 μB/cell
Formation energy from the elements = 0.9097 eV/atom

Unit cell a=6.3876 b=6.3876 c=6.3876 alpha=90.00 beta=90.00 gamma=90.00
With the nearest neighbours (Å) after each atom.
Positions (direct):
K (0.0000, 0.0000, 0.5000)  2 As 3.19
K (0.0000, 0.5000, 0.0000)  2 As 3.19
K (0.5000, 0.0000, 0.0000)  2 As 3.19
Mo (0.5000, 0.5000, 0.5000)  12 K 4.52
As (0.0000, 0.0000, 0.0000)  6 K 3.19